Entry 1:
# SmTmRhAu (PBE, relaxed)
# Size of the total moment = 0.0 μB/cell
# DFT formation energy = -321.7 kJ/mol of formula units
# Distance to the lowest polymorph of the same formula = 0 meV/atom
# Density = 11255 kg/m³
# Electronic total energy = -46.31 eV/cell
data_SmTmRhAu
_chemical_formula_sum 'Sm2 Tm2 Rh2 Au2'
_symmetry_space_group_name_H-M 'A m m 2'
_symmetry_Int_Tables_number 38
_cell_length_a 4.606
_cell_length_b 3.785
_cell_length_c 10.481
_cell_angle_alpha 90.00
_cell_angle_beta 90.00
_cell_angle_gamma 90.00
loop_
_symmetry_equiv_pos_as_xyz
'x,y,z'
'-x,-y,z'
'-x,y,z'
'x,-y,z'
'x,y+1/2,z+1/2'
'-x,-y+1/2,z+1/2'
'-x,y+1/2,z+1/2'
'x,-y+1/2,z+1/2'
loop_
_atom_site_label
_atom_site_type_symbol
_atom_site_fract_x
_atom_site_fract_y
_atom_site_fract_z
Sm1 Sm 0.000 0.000 0.000
Tm1 Tm 0.500 0.000 0.719
Rh1 Rh 0.000 0.000 0.264
Au1 Au 0.500 0.000 0.437

=====

Entry 2:
# LaSeIN2 (PBE, relaxed)
# Size of the total moment = 0.0 μB/cell
# Distance to the lowest polymorph of the same formula = 39 meV/atom
# Density = 4922 kg/m³
# E_form (uncorrected) = 722 meV per atom
# Electronic total energy = -23.00 eV/cell
data_LaSeIN2
_chemical_formula_sum 'La1 Se1 I1 N2'
_symmetry_space_group_name_H-M 'P 4/m m m'
_symmetry_Int_Tables_number 123
_symmetry_space_group_name_Hall '-P 4 2'
_cell_length_a 4.279
_cell_length_b 4.279
_cell_length_c 6.868
_cell_angle_alpha 90.00
_cell_angle_beta 90.00
_cell_angle_gamma 90.00
loop_
_atom_site_label
_atom_site_type_symbol
_atom_site_fract_x
_atom_site_fract_y
_atom_site_fract_z
La1 La 0.000 0.000 0.000
Se1 Se 0.000 0.000 0.500
I1 I 0.500 0.500 0.500
N1 N 0.000 0.500 0.000

=====

Entry 3:
# SrZn2Cr2 (PBE, relaxed)
# Size of the total moment = 0.0 μB/cell
# DFT formation energy = 203.5 kJ/mol of formula units
# Distance to the lowest polymorph of the same formula = 0 meV/atom
# Density = 5461 kg/m³
# Electronic total energy = -42.73 eV/cell
data_SrZn2Cr2
_chemical_formula_sum 'Sr2 Zn4 Cr4'
_symmetry_space_group_name_H-M 'I 4/m m m'
_symmetry_Int_Tables_number 139
_symmetry_space_group_name_Hall '-I 4 2'
_cell_length_a 4.876
_cell_length_b 4.876
_cell_length_c 8.248
_cell_angle_alpha 90.00
_cell_angle_beta 90.00
_cell_angle_gamma 90.00
loop_
_atom_site_label
_atom_site_type_symbol
_atom_site_fract_x
_atom_site_fract_y
_atom_site_fract_z
Sr1 Sr 0.000 0.000 0.000
Zn1 Zn 0.000 0.500 0.250
Cr1 Cr 0.000 0.000 0.391

=====

Entry 4:
# TcTePt (PBE, relaxed)
# Size of the total moment = 0.0 μB/cell
# Distance to the lowest polymorph of the same formula = 141 meV/atom
# Density = 11836 kg/m³
# E_form (uncorrected) = 285 meV per atom
# Electronic total energy = -74.77 eV/cell
data_TcTePt
_chemical_formula_sum 'Tc4 Te4 Pt4'
_symmetry_space_group_name_H-M 'A m m 2'
_symmetry_Int_Tables_number 38
_cell_length_a 12.569
_cell_length_b 3.293
_cell_length_c 5.704
_cell_angle_alpha 90.00
_cell_angle_beta 90.00
_cell_angle_gamma 90.00
loop_
_symmetry_equiv_pos_as_xyz
'x,y,z'
'-x,-y,z'
'-x,y,z'
'x,-y,z'
'x,y+1/2,z+1/2'
'-x,-y+1/2,z+1/2'
'-x,y+1/2,z+1/2'
'x,-y+1/2,z+1/2'
loop_
_atom_site_label
_atom_site_type_symbol
_atom_site_fract_x
_atom_site_fract_y
_atom_site_fract_z
Tc1 Tc 0.153 0.000 0.000
Te1 Te 0.296 0.000 0.667
Pt1 Pt 0.000 0.000 0.667
Pt2 Pt 0.500 0.000 0.668

=====

Entry 5:
# LaNdBiN (PBE, relaxed)
# Size of the total moment = 0.0 μB/cell
# Density = 7738 kg/m³
# E_form (uncorrected) = -1194 meV per atom
# Electronic total energy = -53.35 eV/cell
data_LaNdBiN
_chemical_formula_sum 'La2 Nd2 Bi2 N2'
_symmetry_space_group_name_H-M 'P 4/n m m'
_symmetry_Int_Tables_number 129
_cell_length_a 4.789
_cell_length_b 4.789
_cell_length_c 9.471
_cell_angle_alpha 90.00
_cell_angle_beta 90.00
_cell_angle_gamma 90.00
loop_
_symmetry_equiv_pos_as_xyz
'x,y,z'
'-x,-y,-z'
'-y+1/2,x,z'
'y+1/2,-x,-z'
'-x+1/2,-y+1/2,z'
'x+1/2,y+1/2,-z'
'y,-x+1/2,z'
'-y,x+1/2,-z'
'x+1/2,-y,-z'
'-x+1/2,y,z'
'-y,-x,-z'
'y,x,z'
'-x,y+1/2,-z'
'x,-y+1/2,z'
'y+1/2,x+1/2,-z'
'-y+1/2,-x+1/2,z'
loop_
_atom_site_label
_atom_site_type_symbol
_atom_site_fract_x
_atom_site_fract_y
_atom_site_fract_z
La1 La 0.250 0.750 0.000
Nd1 Nd 0.250 0.250 0.327
Bi1 Bi 0.250 0.250 0.693
N1 N 0.250 0.250 0.087

=====

Entry 6:
# Nd2SmGa3 (PBE, relaxed)
# Size of the total moment = 0.0 μB/cell
# DFT formation energy = -277.2 kJ/mol of formula units
# Distance to the lowest polymorph of the same formula = 81 meV/atom
# Density = 6746 kg/m³
# Electronic total energy = -104.83 eV/cell
data_Nd2SmGa3
_chemical_formula_sum 'Nd8 Sm4 Ga12'
_symmetry_space_group_name_H-M 'C m c m'
_symmetry_Int_Tables_number 63
_symmetry_space_group_name_Hall '-C 2c 2'
_cell_length_a 4.707
_cell_length_b 21.515
_cell_length_c 6.300
_cell_angle_alpha 90.00
_cell_angle_beta 90.00
_cell_angle_gamma 90.00
loop_
_atom_site_label
_atom_site_type_symbol
_atom_site_fract_x
_atom_site_fract_y
_atom_site_fract_z
Nd1 Nd 0.000 0.034 0.250
Nd2 Nd 0.000 0.144 0.750
Sm1 Sm 0.000 0.323 0.750
Ga1 Ga 0.000 0.261 0.250
Ga2 Ga 0.000 0.438 0.046

=====

- Which formula does entry 5 have?
  LaNdBiN

=====

- Number 4 is which compound?
  TcTePt